VASP calculation (GGA-PBE) on ZnCr2Mo after structural relaxation.

## Properties
Fermi-level density of states   5.5 states/eV/cell
Symmetry   R-3m (166)
Crystal system   trigonal
E   -29.68 eV/f.u.

a b c (Å): 9.215 9.215 9.215
angles (deg): 16.45 16.45 16.45
Atoms (fractional coordinates):
Zn1 0.000 0.000 0.000
Cr1 0.252 0.252 0.252
Cr2 0.748 0.748 0.748
Mo1 0.500 0.500 0.500


VASP calculation (GGA-PBE) on Zn3CrMo after structural relaxation.

## Properties
Fermi-level density of states   7.8 states/eV/cell
Symmetry   Pm-3m (221)
Crystal system   cubic
E   -17.39 eV/f.u.

a b c (Å): 4.506 4.506 4.506
angles (deg): 90.00 90.00 90.00
Atoms (fractional coordinates):
Zn1 0.000 0.000 0.500
Zn2 0.000 0.500 0.000
Zn3 0.500 0.000 0.000
Cr1 0.000 0.000 0.000
Mo1 0.500 0.500 0.500


VASP calculation (GGA-PBE) on ZnCr2Mo after structural relaxation.

## Properties
Fermi-level density of states   3.6 states/eV/cell
Symmetry   P4/mmm (123)
Crystal system   tetragonal
E   -29.98 eV/f.u.

a b c (Å): 2.528 2.528 8.472
angles (deg): 90.00 90.00 90.00
Atoms (fractional coordinates):
Zn1 0.000 0.000 0.000
Cr1 0.500 0.500 0.238
Cr2 0.500 0.500 0.762
Mo1 0.000 0.000 0.500


VASP calculation (GGA-PBE) on ZnCr2Mo after structural relaxation.

## Properties
Fermi-level density of states   4.9 states/eV/cell
Symmetry   P4/mmm (123)
Crystal system   tetragonal
E   -30.58 eV/f.u.

a b c (Å): 3.083 3.083 5.814
angles (deg): 90.00 90.00 90.00
Atoms (fractional coordinates):
Zn1 0.000 0.000 0.000
Cr1 0.500 0.500 0.255
Cr2 0.500 0.500 0.745
Mo1 0.000 0.000 0.500


VASP calculation (GGA-PBE) on ZnCr2Mo after structural relaxation.

## Properties
Fermi-level density of states   2.8 states/eV/cell
Symmetry   Cmm2 (35)
Crystal system   orthorhombic
E   -30.75 eV/f.u.

a b c (Å): 2.584 2.584 8.471
angles (deg): 90.00 90.00 108.28
Atoms (fractional coordinates):
Zn1 0.000 0.000 0.000
Cr1 0.000 0.000 0.528
Cr2 0.500 0.500 0.748
Mo1 0.500 0.500 0.275


VASP calculation (GGA-PBE) on ZnCr2Mo after structural relaxation.

## Properties
Fermi-level density of states   2.9 states/eV/cell
Symmetry   C2/m (12)
Crystal system   monoclinic
E   -30.40 eV/f.u.

a b c (Å): 5.003 5.003 2.549
angles (deg): 100.53 100.53 116.88
Atoms (fractional coordinates):
Zn1 0.000 0.000 0.000
Cr1 0.000 0.500 0.500
Cr2 0.500 0.000 0.500
Mo1 0.500 0.500 0.000


VASP calculation (GGA-PBE) on ZnCr2Mo after structural relaxation.

## Properties
Fermi-level density of states   3.7 states/eV/cell
Symmetry   Cmmm (65)
Crystal system   orthorhombic
E   -29.94 eV/f.u.

a b c (Å): 4.822 4.822 2.531
angles (deg): 90.00 90.00 113.49
Atoms (fractional coordinates):
Zn1 0.000 0.000 0.000
Cr1 0.000 0.500 0.500
Cr2 0.500 0.000 0.500
Mo1 0.500 0.500 0.000


VASP calculation (GGA-PBE) on Zr2CrMo after structural relaxation.

## Properties
Fermi-level density of states   5.5 states/eV/cell
Symmetry   F-43m (216)
Energy relative to the lowest polymorph listed for this composition   158 meV/atom
Crystal system   cubic
E   -36.59 eV/f.u.

a b c (Å): 4.632 4.632 4.632
angles (deg): 60.00 60.00 60.00
Atoms (fractional coordinates):
Zr1 0.000 0.000 0.000
Zr2 0.250 0.250 0.250
Cr1 0.500 0.500 0.500
Mo1 0.750 0.750 0.750


VASP calculation (GGA-PBE) on ZrCr2Mo after structural relaxation.

## Properties
Fermi-level density of states   10.1 states/eV/cell
Symmetry   I-42d (122)
Energy relative to the lowest polymorph listed for this composition   573 meV/atom
Crystal system   tetragonal
E   -35.82 eV/f.u.

a b c (Å): 5.612 5.612 5.612
angles (deg): 103.77 103.77 121.60
Atoms (fractional coordinates):
Zr1 0.000 0.000 0.000
Zr2 0.750 0.250 0.500
Cr1 0.154 0.625 0.029
Cr2 0.375 0.404 0.529
Cr3 0.596 0.125 0.971
Cr4 0.875 0.846 0.471
Mo1 0.250 0.750 0.500
Mo2 0.500 0.500 0.000


VASP calculation (GGA-PBE) on ZrCrMo after structural relaxation.

## Properties
Fermi-level density of states   6.6 states/eV/cell
Symmetry   Cm (8)
Energy relative to the lowest polymorph listed for this composition   288 meV/atom
Crystal system   monoclinic
E   -28.38 eV/f.u.

a b c (Å): 5.414 5.414 6.645
angles (deg): 127.21 127.21 45.22
Atoms (fractional coordinates):
Zr1 0.000 0.000 0.000
Zr2 0.117 0.117 0.621
Cr1 0.379 0.379 0.538
Cr2 0.735 0.735 0.453
Mo1 0.405 0.405 0.194
Mo2 0.719 0.719 0.077


VASP calculation (GGA-PBE) on ZrCrMo after structural relaxation.

## Properties
Fermi-level density of states   5.5 states/eV/cell
Symmetry   C2/m (12)
Energy relative to the lowest polymorph listed for this composition   292 meV/atom
Crystal system   monoclinic
E   -28.37 eV/f.u.

a b c (Å): 4.783 4.783 5.221
angles (deg): 110.46 110.46 71.21
Atoms (fractional coordinates):
Zr1 0.196 0.196 0.107
Zr2 0.804 0.804 0.893
Cr1 0.177 0.823 0.500
Cr2 0.823 0.177 0.500
Mo1 0.390 0.390 0.712
Mo2 0.610 0.610 0.288


VASP calculation (GGA-PBE) on Zr2CrMo after structural relaxation.

## Properties
Fermi-level density of states   5.7 states/eV/cell
Symmetry   Pmmm (47)
Energy relative to the lowest polymorph listed for this composition   192 meV/atom
Crystal system   orthorhombic
E   -36.45 eV/f.u.

a b c (Å): 3.338 4.411 4.883
angles (deg): 90.00 90.00 90.00
Atoms (fractional coordinates):
Zr1 0.000 0.000 0.000
Zr2 0.500 0.000 0.500
Cr1 0.000 0.500 0.500
Mo1 0.500 0.500 0.000